--- A ---
# SrHgAs | the Alexandria database | meta-GGA SCAN | single point on PBEsol structure
# DOS(E_F)	0.455	states/eV/atom
data_SrHgAs
_chemical_formula_sum 'Sr1 Hg1 As1'
_cell_length_a 4.5189
_cell_length_b 4.5189
_cell_length_c 4.5099
_cell_angle_alpha 90.00
_cell_angle_beta 90.00
_cell_angle_gamma 120.00
_space_group_name_H-M_alt 'P 3 m 1'
_space_group_IT_number 156
_space_group_name_Hall 'P 3 -2"'
loop_
_atom_site_label
_atom_site_type_symbol
_atom_site_fract_x
_atom_site_fract_y
_atom_site_fract_z
Sr1 Sr 0.0000 0.0000 0.0000
Hg1 Hg 0.6667 0.3333 0.4211
As1 As 0.3333 0.6667 0.5939

=====

--- B ---
# SrHgAs | the Alexandria database | meta-GGA SCAN | single point on PBEsol structure
# DOS(E_F)	0.698	states/eV/atom
data_SrHgAs
_chemical_formula_sum 'Sr4 Hg4 As4'
_cell_length_a 7.1392
_cell_length_b 7.1392
_cell_length_c 7.1392
_cell_angle_alpha 90.00
_cell_angle_beta 90.00
_cell_angle_gamma 90.00
_space_group_name_H-M_alt 'F -4 3 m'
_space_group_IT_number 216
_space_group_name_Hall 'F -4 2 3'
loop_
_atom_site_label
_atom_site_type_symbol
_atom_site_fract_x
_atom_site_fract_y
_atom_site_fract_z
Sr1 Sr 0.0000 0.0000 0.0000
Hg1 Hg 0.2500 0.2500 0.7500
As1 As 0.2500 0.2500 0.2500

=====

So which one is most stable? That would be A, about 352 meV per atom below the next structure.

=====

--- A ---
# HgTe2As | the Alexandria database | meta-GGA SCAN | single point on PBEsol structure
# DOS(E_F)	0.353	states/eV/atom
data_HgTe2As
_chemical_formula_sum 'Hg1 Te2 As1'
_cell_length_a 4.2167
_cell_length_b 4.2167
_cell_length_c 6.0030
_cell_angle_alpha 90.00
_cell_angle_beta 90.00
_cell_angle_gamma 90.00
_space_group_name_H-M_alt 'P 4 m m'
_space_group_IT_number 99
_space_group_name_Hall 'P 4 -2'
loop_
_atom_site_label
_atom_site_type_symbol
_atom_site_fract_x
_atom_site_fract_y
_atom_site_fract_z
Hg1 Hg 0.0000 0.0000 0.0000
Te1 Te 0.0000 0.0000 0.5227
Te2 Te 0.5000 0.5000 0.0661
As1 As 0.5000 0.5000 0.5061

=====

--- B ---
# HgTe2As | the Alexandria database | meta-GGA SCAN | single point on PBEsol structure
# DOS(E_F)	0.361	states/eV/atom
data_HgTe2As
_chemical_formula_sum 'Hg1 Te2 As1'
_cell_length_a 3.0240
_cell_length_b 4.1696
_cell_length_c 8.6372
_cell_angle_alpha 90.00
_cell_angle_beta 92.62
_cell_angle_gamma 90.00
_space_group_name_H-M_alt 'P 1 2/m 1'
_space_group_IT_number 10
_space_group_name_Hall '-P 2y'
loop_
_atom_site_label
_atom_site_type_symbol
_atom_site_fract_x
_atom_site_fract_y
_atom_site_fract_z
Hg1 Hg 0.0000 0.0000 0.0000
Te1 Te 0.0262 0.5000 0.7302
As1 As 0.0000 0.0000 0.5000

=====

--- C ---
# HgTe2As | the Alexandria database | meta-GGA SCAN | single point on PBEsol structure
# DOS(E_F)	0.685	states/eV/atom
data_HgTe2As
_chemical_formula_sum 'Hg4 Te8 As4'
_cell_length_a 7.2727
_cell_length_b 7.2727
_cell_length_c 7.2727
_cell_angle_alpha 90.00
_cell_angle_beta 90.00
_cell_angle_gamma 90.00
_space_group_name_H-M_alt 'F -4 3 m'
_space_group_IT_number 216
_space_group_name_Hall 'F -4 2 3'
loop_
_atom_site_label
_atom_site_type_symbol
_atom_site_fract_x
_atom_site_fract_y
_atom_site_fract_z
Hg1 Hg 0.0000 0.0000 0.0000
Te1 Te 0.0000 0.0000 0.5000
Te2 Te 0.2500 0.2500 0.7500
As1 As 0.2500 0.2500 0.2500

=====

--- D ---
# HgTe2As | the Alexandria database | meta-GGA SCAN | single point on PBEsol structure
# DOS(E_F)	0.406	states/eV/atom
data_HgTe2As
_chemical_formula_sum 'Hg3 Te6 As3'
_cell_length_a 4.2084
_cell_length_b 4.2084
_cell_length_c 20.6253
_cell_angle_alpha 90.00
_cell_angle_beta 90.00
_cell_angle_gamma 120.00
_space_group_name_H-M_alt 'R -3 m'
_space_group_IT_number 166
_space_group_name_Hall '-R 3 2"'
loop_
_atom_site_label
_atom_site_type_symbol
_atom_site_fract_x
_atom_site_fract_y
_atom_site_fract_z
Hg1 Hg 0.0000 0.0000 0.0000
Te1 Te 0.0000 0.0000 0.2446
As1 As 0.0000 0.0000 0.5000

=====

So which one is most stable? That would be D, about 21 meV per atom below the next structure.

=====

--- A ---
# HgTe2As | the Alexandria database | meta-GGA SCAN | single point on PBEsol structure
# DOS(E_F)	0.402	states/eV/atom
data_HgTe2As
_chemical_formula_sum 'Hg1 Te2 As1'
_cell_length_a 3.0294
_cell_length_b 5.9273
_cell_length_c 5.9704
_cell_angle_alpha 90.00
_cell_angle_beta 97.77
_cell_angle_gamma 90.00
_space_group_name_H-M_alt 'P 1 m 1'
_space_group_IT_number 6
_space_group_name_Hall 'P -2y'
loop_
_atom_site_label
_atom_site_type_symbol
_atom_site_fract_x
_atom_site_fract_y
_atom_site_fract_z
Hg1 Hg 0.0000 0.0000 0.0000
Te1 Te 0.0884 0.5000 0.9776
Te2 Te 0.8894 0.0000 0.4876
As1 As 0.9403 0.5000 0.5113

=====

--- B ---
# HgTe2As | the Alexandria database | meta-GGA SCAN | single point on PBEsol structure
# DOS(E_F)	0.445	states/eV/atom
data_HgTe2As
_chemical_formula_sum 'Hg1 Te2 As1'
_cell_length_a 4.2026
_cell_length_b 4.2026
_cell_length_c 5.9018
_cell_angle_alpha 90.00
_cell_angle_beta 90.00
_cell_angle_gamma 90.00
_space_group_name_H-M_alt 'P 4/m m m'
_space_group_IT_number 123
_space_group_name_Hall '-P 4 2'
loop_
_atom_site_label
_atom_site_type_symbol
_atom_site_fract_x
_atom_site_fract_y
_atom_site_fract_z
Hg1 Hg 0.0000 0.0000 0.0000
Te1 Te 0.0000 0.0000 0.5000
Te2 Te 0.5000 0.5000 0.0000
As1 As 0.5000 0.5000 0.5000

=====

--- C ---
# HgTe2As | the Alexandria database | meta-GGA SCAN | single point on PBEsol structure
# DOS(E_F)	0.336	states/eV/atom
data_HgTe2As
_chemical_formula_sum 'Hg2 Te4 As2'
_cell_length_a 12.5013
_cell_length_b 4.1413
_cell_length_c 4.1577
_cell_angle_alpha 90.00
_cell_angle_beta 95.39
_cell_angle_gamma 90.00
_space_group_name_H-M_alt 'C 1 m 1'
_space_group_IT_number 8
_space_group_name_Hall 'C -2y'
loop_
_atom_site_label
_atom_site_type_symbol
_atom_site_fract_x
_atom_site_fract_y
_atom_site_fract_z
Hg1 Hg 0.0000 0.0000 0.0000
Te1 Te 0.2355 0.5000 0.8774
Te2 Te 0.4752 0.0000 0.4920
As1 As 0.2622 0.0000 0.3822

=====

--- D ---
# HgTe2As | the Alexandria database | meta-GGA SCAN | single point on PBEsol structure
# DOS(E_F)	0.570	states/eV/atom
data_HgTe2As
_chemical_formula_sum 'Hg1 Te2 As1'
_cell_length_a 3.6076
_cell_length_b 3.6076
_cell_length_c 7.4552
_cell_angle_alpha 90.00
_cell_angle_beta 90.00
_cell_angle_gamma 90.00
_space_group_name_H-M_alt 'P 4/m m m'
_space_group_IT_number 123
_space_group_name_Hall '-P 4 2'
loop_
_atom_site_label
_atom_site_type_symbol
_atom_site_fract_x
_atom_site_fract_y
_atom_site_fract_z
Hg1 Hg 0.0000 0.0000 0.0000
Te1 Te 0.5000 0.5000 0.2727
As1 As 0.0000 0.0000 0.5000

=====

So which one is most stable? That would be B, about 28 meV per atom below the next structure.

=====

--- A ---
# Hg2TeAs | the Alexandria database | meta-GGA SCAN | single point on PBEsol structure
# DOS(E_F)	0.554	states/eV/atom
data_Hg2TeAs
_chemical_formula_sum 'Hg8 Te4 As4'
_cell_length_a 6.2952
_cell_length_b 6.2952
_cell_length_c 12.3116
_cell_angle_alpha 90.00
_cell_angle_beta 90.00
_cell_angle_gamma 90.00
_space_group_name_H-M_alt 'I -4 2 d'
_space_group_IT_number 122
_space_group_name_Hall 'I -4 2bw'
loop_
_atom_site_label
_atom_site_type_symbol
_atom_site_fract_x
_atom_site_fract_y
_atom_site_fract_z
Hg1 Hg 0.2157 0.2500 0.1250
Te1 Te 0.0000 0.0000 0.5000
As1 As 0.0000 0.0000 0.0000

=====

--- B ---
# Hg2TeAs | the Alexandria database | meta-GGA SCAN | single point on PBEsol structure
# DOS(E_F)	0.609	states/eV/atom
data_Hg2TeAs
_chemical_formula_sum 'Hg4 Te2 As2'
_cell_length_a 3.7504
_cell_length_b 5.0830
_cell_length_c 9.7913
_cell_angle_alpha 90.00
_cell_angle_beta 90.00
_cell_angle_gamma 90.00
_space_group_name_H-M_alt 'C m m m'
_space_group_IT_number 65
_space_group_name_Hall '-C 2 2'
loop_
_atom_site_label
_atom_site_type_symbol
_atom_site_fract_x
_atom_site_fract_y
_atom_site_fract_z
Hg1 Hg 0.0000 0.0000 0.2281
Te1 Te 0.0000 0.5000 0.5000
As1 As 0.0000 0.5000 0.0000

=====

--- C ---
# Hg2TeAs | the Alexandria database | meta-GGA SCAN | single point on PBEsol structure
# DOS(E_F)	0.576	states/eV/atom
data_Hg2TeAs
_chemical_formula_sum 'Hg2 Te1 As1'
_cell_length_a 2.8747
_cell_length_b 5.9757
_cell_length_c 5.8410
_cell_angle_alpha 90.00
_cell_angle_beta 90.45
_cell_angle_gamma 90.00
_space_group_name_H-M_alt 'P 1 2/m 1'
_space_group_IT_number 10
_space_group_name_Hall '-P 2y'
loop_
_atom_site_label
_atom_site_type_symbol
_atom_site_fract_x
_atom_site_fract_y
_atom_site_fract_z
Hg1 Hg 0.0010 0.0000 0.2539
Te1 Te 0.0000 0.5000 0.0000
As1 As 0.0000 0.5000 0.5000

=====

So which one is most stable? That would be A, about 152 meV per atom below the next structure.

=====

--- A ---
# TlHg2As | the Alexandria database | meta-GGA SCAN | single point on PBEsol structure
# DOS(E_F)	0.434	states/eV/atom
data_TlHg2As
_chemical_formula_sum 'Tl2 Hg4 As2'
_cell_length_a 4.1924
_cell_length_b 5.2509
_cell_length_c 8.5432
_cell_angle_alpha 90.00
_cell_angle_beta 90.00
_cell_angle_gamma 90.00
_space_group_name_H-M_alt 'C m m m'
_space_group_IT_number 65
_space_group_name_Hall '-C 2 2'
loop_
_atom_site_label
_atom_site_type_symbol
_atom_site_fract_x
_atom_site_fract_y
_atom_site_fract_z
Tl1 Tl 0.0000 0.0000 0.0000
Hg1 Hg 0.0000 0.5000 0.2721
As1 As 0.0000 0.0000 0.5000

=====

--- B ---
# TlHg2As | the Alexandria database | meta-GGA SCAN | single point on PBEsol structure
# DOS(E_F)	0.427	states/eV/atom
data_TlHg2As
_chemical_formula_sum 'Tl2 Hg4 As2'
_cell_length_a 3.3820
_cell_length_b 5.4462
_cell_length_c 10.2316
_cell_angle_alpha 90.00
_cell_angle_beta 90.00
_cell_angle_gamma 90.00
_space_group_name_H-M_alt 'I m m m'
_space_group_IT_number 71
_space_group_name_Hall '-I 2 2'
loop_
_atom_site_label
_atom_site_type_symbol
_atom_site_fract_x
_atom_site_fract_y
_atom_site_fract_z
Tl1 Tl 0.0000 0.0000 0.0000
Hg1 Hg 0.0000 0.5000 0.2303
As1 As 0.0000 0.0000 0.5000

=====

--- C ---
# TlHg2As | the Alexandria database | meta-GGA SCAN | single point on PBEsol structure
# DOS(E_F)	0.342	states/eV/atom
data_TlHg2As
_chemical_formula_sum 'Tl2 Hg4 As2'
_cell_length_a 5.0103
_cell_length_b 5.0103
_cell_length_c 7.4413
_cell_angle_alpha 90.00
_cell_angle_beta 90.00
_cell_angle_gamma 90.00
_space_group_name_H-M_alt 'I -4 m 2'
_space_group_IT_number 119
_space_group_name_Hall 'I -4 -2'
loop_
_atom_site_label
_atom_site_type_symbol
_atom_site_fract_x
_atom_site_fract_y
_atom_site_fract_z
Tl1 Tl 0.0000 0.0000 0.0000
Hg1 Hg 0.0000 0.0000 0.5000
Hg2 Hg 0.0000 0.5000 0.7500
As1 As 0.0000 0.5000 0.2500

=====

So which one is most stable? That would be B, about 7 meV per atom below the next structure.